No. 1
! Pb6Cl, optimized geometry, DFT GGA-PBE; values from VASP
&SYSTEM
  ibrav = 0, nat = 7, ntyp = 2
/
ATOMIC_SPECIES
Pb 207.20 Pb.upf
Cl 35.45 Cl.upf
ATOMIC_POSITIONS crystal
Pb 0.250 0.750 0.500
Pb 0.500 0.750 0.250
Pb 0.250 0.500 0.750
Pb 0.750 0.250 0.500
Pb 0.500 0.250 0.750
Pb 0.750 0.500 0.250
Cl 0.000 0.000 0.000
CELL_PARAMETERS angstrom
-2.854 1.945 -6.525
-3.698 -5.804 2.672
-0.557 5.655 4.713
! Size of the total moment in μB per formula unit: 0.0
! Uncorrected formation energy in kcal/mol of atoms: 5.7
! Calculated density in g/cm3: 6.853
! Space group: Im-3m



No. 2
! Pb3Cl, optimized geometry, DFT GGA-PBE; values from VASP
&SYSTEM
  ibrav = 0, nat = 8, ntyp = 2
/
ATOMIC_SPECIES
Pb 207.20 Pb.upf
Cl 35.45 Cl.upf
ATOMIC_POSITIONS crystal
Pb 0.750 0.500 0.000
Pb 0.250 0.500 0.000
Pb 0.000 0.750 0.500
Pb 0.000 0.250 0.500
Pb 0.500 0.000 0.250
Pb 0.500 0.000 0.750
Cl 0.000 0.000 0.000
Cl 0.500 0.500 0.500
CELL_PARAMETERS angstrom
6.255 0.000 0.000
0.000 6.255 0.000
0.000 0.000 6.255
! Size of the total moment in μB per formula unit: 0.0
! ΔE to the lowest computed polymorph in meV/atom: 203
! Uncorrected formation energy in kcal/mol of atoms: -2.1
! Calculated density in g/cm3: 8.915
! Space group: Pm-3n



No. 3
! Pb3Cl, optimized geometry, DFT GGA-PBE; values from VASP
&SYSTEM
  ibrav = 0, nat = 4, ntyp = 2
/
ATOMIC_SPECIES
Cl 35.45 Cl.upf
Pb 207.20 Pb.upf
ATOMIC_POSITIONS crystal
Cl 0.000 0.000 0.000
Pb 0.500 0.500 0.761
Pb 0.000 0.000 0.500
Pb 0.500 0.500 0.239
CELL_PARAMETERS angstrom
0.001 1.378 3.306
2.641 -2.388 0.389
6.221 6.441 -2.687
! Size of the total moment in μB per formula unit: 0.0
! ΔE to the lowest computed polymorph in meV/atom: 11
! Uncorrected formation energy in kcal/mol of atoms: -6.6
! Calculated density in g/cm3: 9.210
! Space group: Cmmm



No. 4
! PbCl3, optimized geometry, DFT GGA-PBE; values from VASP
&SYSTEM
  ibrav = 0, nat = 4, ntyp = 2
/
ATOMIC_SPECIES
Pb 207.20 Pb.upf
Cl 35.45 Cl.upf
ATOMIC_POSITIONS crystal
Pb 0.500 0.500 0.000
Cl 0.000 0.000 0.000
Cl 0.000 0.500 0.500
Cl 0.500 0.000 0.500
CELL_PARAMETERS angstrom
5.271 0.061 0.116
-1.855 4.935 0.116
-1.855 -2.712 4.125
! Size of the total moment in μB per formula unit: 0.0
! Uncorrected formation energy in kcal/mol of atoms: -11.0
! Calculated density in g/cm3: 4.689
! Space group: R-3m



No. 5
! Pb4Cl3, optimized geometry, DFT GGA-PBE; values from VASP
&SYSTEM
  ibrav = 0, nat = 7, ntyp = 2
/
ATOMIC_SPECIES
Pb 207.20 Pb.upf
Cl 35.45 Cl.upf
ATOMIC_POSITIONS crystal
Pb 0.000 0.000 0.252
Pb 0.000 0.000 0.748
Pb 0.667 0.333 0.500
Pb 0.333 0.667 0.500
Cl 0.000 0.500 0.000
Cl 0.500 0.500 0.000
Cl 0.500 0.000 0.000
CELL_PARAMETERS angstrom
1.882 6.040 1.188
-5.718 -2.065 2.115
2.405 -1.701 4.840
! Size of the total moment in μB per formula unit: 0.0
! Uncorrected formation energy in kcal/mol of atoms: -5.8
! Calculated density in g/cm3: 7.637
! Space group: P6/mmm



No. 6
! Pb2Cl, optimized geometry, DFT GGA-PBE; values from VASP
&SYSTEM
  ibrav = 0, nat = 6, ntyp = 2
/
ATOMIC_SPECIES
Pb 207.20 Pb.upf
Cl 35.45 Cl.upf
ATOMIC_POSITIONS crystal
Pb 0.154 0.346 0.500
Pb 0.846 0.654 0.500
Pb 0.654 0.154 0.808
Pb 0.346 0.846 0.192
Cl 0.750 0.750 0.000
Cl 0.250 0.250 0.000
CELL_PARAMETERS angstrom
-1.779 -5.881 -0.266
-4.338 4.332 -0.483
3.686 0.821 -4.853
! Size of the total moment in μB per formula unit: 0.0
! ΔE to the lowest computed polymorph in meV/atom: 150
! Uncorrected formation energy in kcal/mol of atoms: -5.5
! Calculated density in g/cm3: 8.481
! Space group: I4/mcm



- Among the records above, which one has the highest calculated density?
  number 3